{
  "formula": "FeSnOF2",
  "functional": "PBE+U",
  "state": "relaxed",
  "cell": [[4.4407, 0.0000, 0.0000], [0.0000, 4.4407, 0.0000], [0.0000, 0.0000, 4.1156]],
  "species": ["F", "F", "Sn", "O", "Fe"],
  "frac_coords": [[0.0000, 0.5000, 0.0000], [0.5000, 0.0000, 0.0000], [0.0000, 0.0000, 0.0000], [0.0000, 0.0000, 0.5000], [0.5000, 0.5000, 0.5000]],
  "energy_ev_per_atom": -4.76,
  "polymorph_energy_ev_per_atom": 0.580,
  "sg": "P4/mmm",
  "total_magnetization_mub_per_atom": 0.609,
  "rho_g_cm3": 4.68
}